Entry 1:
Material: PmEr4Cd
Method: DFT, GGA-PBE
State: relaxed

Unit cell a=5.5033 b=20.7976 c=6.4790 alpha=90.00 beta=90.00 gamma=90.00
Space group Cmc2_1 (No. 36)
Inequivalent atoms, fractional coordinates:
Pm 0.0000 0.0621 0.0000 (multiplicity 4)
Er 0.0000 0.1384 0.5109 (multiplicity 4)
Er 0.0000 0.2539 0.8850 (multiplicity 4)
Er 0.0000 0.3180 0.3603 (multiplicity 4)
Er 0.0000 0.4606 0.1775 (multiplicity 4)
Cd 0.0000 0.3972 0.7569 (multiplicity 4)

Values from the calculation:
energy relative to the elements: 0.0541 eV per atom
magnetic moment: 0.00 Bohr magnetons per cell
calculated volume: 30.9 Å³/atom
polymorph energy (0 for the lowest one): 140.3 meV/atom
DFT total energy: -3.93 eV/atom


Entry 2:
Material: YTa2Nb2
Method: DFT, GGA-PBE
State: relaxed

Unit cell a=4.1370 b=4.1370 c=12.8251 alpha=90.00 beta=90.00 gamma=90.00
Space group I4/mmm (No. 139)
Inequivalent atoms, fractional coordinates:
Y 0.0000 0.0000 0.0000 (multiplicity 2)
Ta 0.0000 0.5000 0.2500 (multiplicity 4)
Nb 0.0000 0.0000 0.3958 (multiplicity 4)

Values from the calculation:
energy relative to the elements: 0.4362 eV per atom
magnetic moment: 0.00 Bohr magnetons per cell
calculated volume: 21.9 Å³/atom
polymorph energy (0 for the lowest one): 113.2 meV/atom
DFT total energy: -9.63 eV/atom


Entry 3:
Material: Sn6IrOs
Method: DFT, GGA-PBE
State: relaxed

Unit cell a=4.9950 b=12.3111 c=6.2933 alpha=90.00 beta=101.39 gamma=90.00
Space group C2/m (No. 12)
Inequivalent atoms, fractional coordinates:
Sn 0.0073 0.0000 0.2444 (multiplicity 4)
Sn 0.0101 0.3136 0.2513 (multiplicity 8)
Ir 0.0000 0.5000 0.5000 (multiplicity 2)
Os 0.0000 0.5000 0.0000 (multiplicity 2)

Values from the calculation:
energy relative to the elements: 0.0820 eV per atom
magnetic moment: 0.00 Bohr magnetons per cell
calculated volume: 23.7 Å³/atom
DFT total energy: -5.43 eV/atom


Entry 4:
Material: Sm3TmMg6
Method: DFT, GGA-PBE
State: relaxed

Unit cell a=9.3444 b=5.2997 c=11.3277 alpha=90.00 beta=105.44 gamma=90.00
Space group P2_1/m (No. 11)
Inequivalent atoms, fractional coordinates:
Sm 0.0403 0.2500 0.3959 (multiplicity 2)
Sm 0.1496 0.7500 0.2092 (multiplicity 2)
Sm 0.2521 0.2500 0.0056 (multiplicity 2)
Tm 0.4520 0.2500 0.5984 (multiplicity 2)
Mg 0.0607 0.7500 0.9019 (multiplicity 2)
Mg 0.1686 0.2500 0.7068 (multiplicity 2)
Mg 0.2628 0.7500 0.5148 (multiplicity 2)
Mg 0.3548 0.7500 0.8082 (multiplicity 2)
Mg 0.3636 0.2500 0.3042 (multiplicity 2)
Mg 0.4547 0.7500 0.1037 (multiplicity 2)

Values from the calculation:
energy relative to the elements: -0.0676 eV per atom
magnetic moment: 0.00 Bohr magnetons per cell
calculated volume: 27.0 Å³/atom
DFT total energy: -2.89 eV/atom


Entry 5:
Material: Pm4Sm5Ho
Method: DFT, GGA-PBE
State: relaxed

Unit cell a=10.5963 b=10.5963 c=6.1496 alpha=90.00 beta=90.00 gamma=90.00
Space group I4mm (No. 107)
Inequivalent atoms, fractional coordinates:
Pm 0.0000 0.3243 0.0000 (multiplicity 8)
Sm 0.0000 0.0000 0.7475 (multiplicity 2)
Sm 0.1888 0.1888 0.4754 (multiplicity 8)
Ho 0.0000 0.0000 0.2153 (multiplicity 2)

Values from the calculation:
energy relative to the elements: 0.2361 eV per atom
magnetic moment: 0.00 Bohr magnetons per cell
calculated volume: 34.5 Å³/atom
polymorph energy (0 for the lowest one): 89.3 meV/atom
DFT total energy: -4.48 eV/atom